This record from Alexandria describes a relaxed CoMoW4 crystal. The functional is PBE.

```
data_CoMoW4
_cell_length_a 7.355
_cell_length_b 7.355
_cell_length_c 7.355
_cell_angle_alpha 90.00
_cell_angle_beta 90.00
_cell_angle_gamma 90.00
_symmetry_space_group_name_H-M 'F -4 3 m'
_symmetry_Int_Tables_number 216
_symmetry_space_group_name_Hall 'F -4 2 3'
loop_
_atom_site_label
_atom_site_fract_x
_atom_site_fract_y
_atom_site_fract_z
Co1 0.000 0.000 0.000
Mo1 0.250 0.250 0.750
W1 0.125 0.125 0.375
```

---

# Co2MoW PBE relaxed
data_Co2MoW
_cell_length_a 5.300
_cell_length_b 7.400
_cell_length_c 2.674
_cell_angle_alpha 90.00
_cell_angle_beta 90.00
_cell_angle_gamma 90.00
_symmetry_space_group_name_H-M 'C m m m'
_symmetry_Int_Tables_number 65
_symmetry_space_group_name_Hall '-C 2 2'
loop_
_atom_site_label
_atom_site_fract_x
_atom_site_fract_y
_atom_site_fract_z
Co1 0.250 0.250 0.000
Mo1 0.000 0.000 0.500
W1 0.000 0.500 0.500
# ΔE to the lowest computed polymorph   14 meV/atom

---

# CoMoW2 PBE relaxed
data_CoMoW2
_cell_length_a 6.212
_cell_length_b 6.212
_cell_length_c 6.212
_cell_angle_alpha 90.00
_cell_angle_beta 90.00
_cell_angle_gamma 90.00
_symmetry_space_group_name_H-M 'F -4 3 m'
_symmetry_Int_Tables_number 216
_symmetry_space_group_name_Hall 'F -4 2 3'
loop_
_atom_site_label
_atom_site_fract_x
_atom_site_fract_y
_atom_site_fract_z
Co1 0.000 0.000 0.000
Mo1 0.250 0.250 0.750
W1 0.000 0.000 0.500
W2 0.250 0.250 0.250
# ΔE to the lowest computed polymorph   150 meV/atom

---

# Co3MoW PBE relaxed
data_Co3MoW
_cell_length_a 4.375
_cell_length_b 4.375
_cell_length_c 4.375
_cell_angle_alpha 90.00
_cell_angle_beta 90.00
_cell_angle_gamma 90.00
_symmetry_space_group_name_H-M 'P m -3 m'
_symmetry_Int_Tables_number 221
_symmetry_space_group_name_Hall '-P 4 2 3'
loop_
_atom_site_label
_atom_site_fract_x
_atom_site_fract_y
_atom_site_fract_z
Co1 0.000 0.000 0.500
Mo1 0.500 0.500 0.500
W1 0.000 0.000 0.000
# ΔE to the lowest computed polymorph   1611 meV/atom

---

Number 1: total energy -11.047 eV/atom. Number 2: total energy -9.456 eV/atom. Number 3: total energy -10.735 eV/atom. Number 4: total energy -7.337 eV/atom.